Record 1
{"formula": "PmPr2Rh", "functional": "PBE", "state": "relaxed", "total_energy_ev_per_cell": -22.673, "ef_ev_per_atom": -0.25, "n_ef_per_ev_atom": 1.41, "polymorph_energy_mev_per_atom": 160, "magmom_total_mub_per_cell": 0.01, "cell": [[1.984, 1.146, 9.472], [-1.984, 1.146, 9.472], [0.000, -2.291, 9.472]], "species": ["Pm", "Pr", "Pr", "Rh"], "fractional_positions": [[0.000, 0.000, 0.000], [0.559, 0.559, 0.559], [0.773, 0.773, 0.773], [0.166, 0.166, 0.166]]}


Record 2
{"formula": "Tl2CrSe", "functional": "PBE", "state": "relaxed", "raw_formation_energy_ev_per_fu": 1.1, "total_energy_ev_per_cell": -16.741, "n_ef_per_ev_atom": 0.36, "polymorph_energy_mev_per_atom": 291, "magmom_total_mub_per_cell": 4.46, "cell": [[-2.316, 2.316, 4.631], [2.316, -2.316, 4.631], [2.316, 2.316, -4.631]], "species": ["Tl", "Tl", "Cr", "Se"], "fractional_positions": [[0.000, 0.000, 0.000], [0.750, 0.250, 0.500], [0.250, 0.750, 0.500], [0.500, 0.500, 0.000]]}


Record 3
{"formula": "K2NaInCl6", "functional": "PBE", "state": "relaxed", "raw_formation_energy_ev_per_fu": -16.2, "total_energy_ev_per_cell": -67.097, "n_ef_per_ev_atom": 0.00, "magmom_total_mub_per_cell": 0.00, "cell": [[7.248, 0.000, 0.000], [0.000, 7.532, 0.000], [-7.194, 0.000, 10.346]], "species": ["K", "K", "K", "K", "Na", "Na", "In", "In", "Cl", "Cl", "Cl", "Cl", "Cl", "Cl", "Cl", "Cl", "Cl", "Cl", "Cl", "Cl"], "fractional_positions": [[0.229, 0.067, 0.249], [0.229, 0.433, 0.749], [0.771, 0.567, 0.251], [0.771, 0.933, 0.751], [0.000, 0.000, 0.500], [0.000, 0.500, 0.000], [0.500, 0.000, 0.000], [0.500, 0.500, 0.500], [0.169, 0.189, 0.954], [0.169, 0.311, 0.454], [0.267, 0.717, 0.952], [0.267, 0.783, 0.452], [0.354, 0.023, 0.762], [0.354, 0.477, 0.262], [0.646, 0.523, 0.738], [0.646, 0.977, 0.238], [0.733, 0.217, 0.548], [0.733, 0.283, 0.048], [0.831, 0.689, 0.546], [0.831, 0.811, 0.046]]}